No. 1
# TlZnW PBE optimized geometry
data_TlZnW
_chemical_formula_sum 'Tl1 Zn1 W1'
_space_group_name_H-M_alt 'P -6 m 2'
_space_group_IT_number 187
_space_group_name_Hall 'P -6 2'
_cell_length_a 4.6957
_cell_length_b 4.6957
_cell_length_c 2.8178
_cell_angle_alpha 90.00
_cell_angle_beta 90.00
_cell_angle_gamma 120.00
loop_
_atom_site_label
_atom_site_fract_x
_atom_site_fract_y
_atom_site_fract_z
Tl1 0.0000 0.0000 0.0000
Zn1 0.3333 0.6667 0.0000
W1 0.6667 0.3333 0.5000
# Energy of formation = 0.90 eV/atom
# Crystal system = hexagonal
# E above lowest polymorph = 0.212 eV per atom
# Total moment = 0.00 μB per cell
# Raw total energy = -13.89 eV for the cell shown

No. 2
# MnP2PtCl PBE optimized geometry
data_MnP2PtCl
_chemical_formula_sum 'Mn1 P2 Pt1 Cl1'
_space_group_name_H-M_alt 'P 4/m m m'
_space_group_IT_number 123
_space_group_name_Hall '-P 4 2'
_cell_length_a 4.272
_cell_length_b 4.272
_cell_length_c 4.741
_cell_angle_alpha 90.00
_cell_angle_beta 90.00
_cell_angle_gamma 90.00
loop_
_atom_site_label
_atom_site_fract_x
_atom_site_fract_y
_atom_site_fract_z
Mn1 0.000 0.000 0.000
P1 0.000 0.500 0.000
Pt1 0.500 0.500 0.500
Cl1 0.000 0.000 0.500
# Crystal system = tetragonal
# E above lowest polymorph = 0.000 eV per atom
# Total moment = 0.37 μB per cell
# Raw total energy = -24.73 eV for the cell shown
# Formation energy (no corrections) = 630 meV/atom

No. 3
# LiPu2GeN PBE optimized geometry
data_LiPu2GeN
_chemical_formula_sum 'Li1 Pu2 Ge1 N1'
_space_group_name_H-M_alt 'P 4/m m m'
_space_group_IT_number 123
_space_group_name_Hall '-P 4 2'
_cell_length_a 4.682
_cell_length_b 4.682
_cell_length_c 4.180
_cell_angle_alpha 90.00
_cell_angle_beta 90.00
_cell_angle_gamma 90.00
loop_
_atom_site_label
_atom_site_fract_x
_atom_site_fract_y
_atom_site_fract_z
Li1 0.000 0.000 0.000
Pu1 0.000 0.500 0.500
Ge1 0.500 0.500 0.000
N1 0.000 0.000 0.500
# Crystal system = tetragonal
# Total moment = 9.97 μB per cell
# Raw total energy = -47.03 eV for the cell shown
# Formation energy (no corrections) = -701 meV/atom

No. 4
# ReSnPdC2 PBE optimized geometry
data_ReSnPdC2
_chemical_formula_sum 'Re1 Sn1 Pd1 C2'
_space_group_name_H-M_alt 'P 4/m m m'
_space_group_IT_number 123
_space_group_name_Hall '-P 4 2'
_cell_length_a 3.980
_cell_length_b 3.980
_cell_length_c 5.489
_cell_angle_alpha 90.00
_cell_angle_beta 90.00
_cell_angle_gamma 90.00
loop_
_atom_site_label
_atom_site_fract_x
_atom_site_fract_y
_atom_site_fract_z
Re1 0.000 0.000 0.000
Sn1 0.000 0.000 0.500
Pd1 0.500 0.500 0.500
C1 0.000 0.500 0.000
# Energy of formation = 1.23 eV/atom
# Crystal system = tetragonal
# Total moment = 0.00 μB per cell
# Raw total energy = -33.94 eV for the cell shown

No. 5
# HoScTl2S4 PBE optimized geometry
data_HoScTl2S4
_chemical_formula_sum 'Ho1 Sc1 Tl2 S4'
_space_group_name_H-M_alt 'P 1 2/m 1'
_space_group_IT_number 10
_cell_length_a 6.774
_cell_length_b 3.914
_cell_length_c 7.833
_cell_angle_alpha 90.00
_cell_angle_beta 106.73
_cell_angle_gamma 90.00
loop_
_space_group_symop_operation_xyz
'x,y,z'
'-x,-y,-z'
'-x,y,-z'
'x,-y,z'
loop_
_atom_site_label
_atom_site_fract_x
_atom_site_fract_y
_atom_site_fract_z
Ho1 0.000 0.000 0.000
Sc1 0.500 0.500 0.000
Tl1 0.000 0.500 0.500
Tl2 0.500 0.000 0.500
S1 0.242 0.500 0.195
S2 0.280 0.000 0.810
# Crystal system = monoclinic
# Total moment = 0.00 μB per cell
# Raw total energy = -43.52 eV for the cell shown
# Formation energy (no corrections) = -1422 meV/atom

No. 6
# NdDy2Ho7 PBE optimized geometry
data_NdDy2Ho7
_chemical_formula_sum 'Nd2 Dy4 Ho14'
_space_group_name_H-M_alt 'C m m m'
_space_group_IT_number 65
_space_group_name_Hall '-C 2 2'
_cell_length_a 8.695
_cell_length_b 16.130
_cell_length_c 5.572
_cell_angle_alpha 90.00
_cell_angle_beta 90.00
_cell_angle_gamma 90.00
loop_
_atom_site_label
_atom_site_fract_x
_atom_site_fract_y
_atom_site_fract_z
Nd1 0.000 0.000 0.000
Dy1 0.000 0.297 0.500
Ho1 0.000 0.215 0.000
Ho2 0.000 0.500 0.500
Ho3 0.177 0.115 0.500
# Energy of formation = 0.70 eV/atom
# Crystal system = orthorhombic
# E above lowest polymorph = 0.687 eV per atom
# Total moment = 0.00 μB per cell
# Raw total energy = -77.96 eV for the cell shown

No. 7
# YMg4Sc2 PBE optimized geometry
data_YMg4Sc2
_chemical_formula_sum 'Y2 Mg8 Sc4'
_space_group_name_H-M_alt 'I 4/m m m'
_space_group_IT_number 139
_space_group_name_Hall '-I 4 2'
_cell_length_a 7.492
_cell_length_b 7.492
_cell_length_c 6.857
_cell_angle_alpha 90.00
_cell_angle_beta 90.00
_cell_angle_gamma 90.00
loop_
_atom_site_label
_atom_site_fract_x
_atom_site_fract_y
_atom_site_fract_z
Y1 0.000 0.000 0.000
Mg1 0.250 0.250 0.250
Sc1 0.000 0.500 0.000
# Energy of formation = 0.13 eV/atom
# Crystal system = tetragonal
# Total moment = 0.00 μB per cell
# Raw total energy = -49.24 eV for the cell shown

No. 8
# Rb2TaBiI6 PBE optimized geometry
data_Rb2TaBiI6
_chemical_formula_sum 'Rb4 Ta2 Bi2 I12'
_space_group_name_H-M_alt 'I 4/m m m'
_space_group_IT_number 139
_space_group_name_Hall '-I 4 2'
_cell_length_a 8.459
_cell_length_b 8.459
_cell_length_c 13.325
_cell_angle_alpha 90.00
_cell_angle_beta 90.00
_cell_angle_gamma 90.00
loop_
_atom_site_label
_atom_site_fract_x
_atom_site_fract_y
_atom_site_fract_z
Rb1 0.000 0.500 0.250
Ta1 0.000 0.000 0.000
Bi1 0.000 0.000 0.500
I1 0.000 0.000 0.214
I2 0.238 0.238 0.000
# Crystal system = tetragonal
# Total moment = 4.05 μB per cell
# Raw total energy = -64.30 eV for the cell shown
# Formation energy (no corrections) = -518 meV/atom

No. 9
# Ta2CdNi PBE optimized geometry
data_Ta2CdNi
_chemical_formula_sum 'Ta4 Cd2 Ni2'
_space_group_name_H-M_alt 'C 1 m 1'
_space_group_IT_number 8
_cell_length_a 10.165
_cell_length_b 2.945
_cell_length_c 4.966
_cell_angle_alpha 90.00
_cell_angle_beta 113.60
_cell_angle_gamma 90.00
loop_
_space_group_symop_operation_xyz
'x,y,z'
'x,-y,z'
'x+1/2,y+1/2,z'
'x+1/2,-y+1/2,z'
loop_
_atom_site_label
_atom_site_fract_x
_atom_site_fract_y
_atom_site_fract_z
Ta1 0.000 0.000 0.000
Ta2 0.239 0.000 0.801
Cd1 0.286 0.500 0.342
Ni1 0.029 0.500 0.488
# Energy of formation = 0.17 eV/atom
# Crystal system = monoclinic
# Total moment = 0.00 μB per cell
# Raw total energy = -59.41 eV for the cell shown

No. 10
# Ba2SeBr PBE optimized geometry
data_Ba2SeBr
_chemical_formula_sum 'Ba4 Se2 Br2'
_space_group_name_H-M_alt 'A m m 2'
_space_group_IT_number 38
_cell_length_a 4.881
_cell_length_b 4.458
_cell_length_c 13.352
_cell_angle_alpha 90.00
_cell_angle_beta 90.00
_cell_angle_gamma 90.00
loop_
_space_group_symop_operation_xyz
'x,y,z'
'-x,-y,z'
'-x,y,z'
'x,-y,z'
'x,y+1/2,z+1/2'
'-x,-y+1/2,z+1/2'
'-x,y+1/2,z+1/2'
'x,-y+1/2,z+1/2'
loop_
_atom_site_label
_atom_site_fract_x
_atom_site_fract_y
_atom_site_fract_z
Ba1 0.000 0.000 0.000
Ba2 0.500 0.000 0.267
Se1 0.000 0.000 0.751
Br1 0.500 0.000 0.513
# Crystal system = orthorhombic
# E above lowest polymorph = 0.157 eV per atom
# Total moment = 0.00 μB per cell
# Raw total energy = -31.48 eV for the cell shown
# Formation energy (no corrections) = -1684 meV/atom

No. 11
# TaTi2Ni PBE optimized geometry
data_TaTi2Ni
_chemical_formula_sum 'Ta3 Ti6 Ni3'
_space_group_name_H-M_alt 'R 3 m'
_space_group_IT_number 160
_space_group_name_Hall 'R 3 -2"'
_cell_length_a 2.8908
_cell_length_b 2.8908
_cell_length_c 26.5738
_cell_angle_alpha 90.00
_cell_angle_beta 90.00
_cell_angle_gamma 120.00
loop_
_atom_site_label
_atom_site_fract_x
_atom_site_fract_y
_atom_site_fract_z
Ta1 0.0000 0.0000 0.0000
Ti1 0.0000 0.0000 0.2422
Ti2 0.0000 0.0000 0.4243
Ni1 0.0000 0.0000 0.8323
# Energy of formation = 0.02 eV/atom
# Crystal system = trigonal
# E above lowest polymorph = 0.194 eV per atom
# Total moment = 0.00 μB per cell
# Raw total energy = -100.07 eV for the cell shown

No. 12
# Rb2NF PBE optimized geometry
data_Rb2NF
_chemical_formula_sum 'Rb8 N4 F4'
_space_group_name_H-M_alt 'I -4 2 d'
_space_group_IT_number 122
_space_group_name_Hall 'I -4 2bw'
_cell_length_a 7.384
_cell_length_b 7.384
_cell_length_c 8.888
_cell_angle_alpha 90.00
_cell_angle_beta 90.00
_cell_angle_gamma 90.00
loop_
_atom_site_label
_atom_site_fract_x
_atom_site_fract_y
_atom_site_fract_z
Rb1 0.222 0.250 0.125
N1 0.000 0.000 0.500
F1 0.000 0.000 0.000
# Crystal system = tetragonal
# E above lowest polymorph = 0.000 eV per atom
# Total moment = 8.00 μB per cell
# Raw total energy = -57.09 eV for the cell shown
# Formation energy (no corrections) = -535 meV/atom